Entry from Alexandria via LeMat-Bulk: a relaxed structure of Pm2SmOs (PBE).

Lattice parameters (Å, degrees): 11.2178 11.2178 11.2178 18.45 18.45 18.45
With the nearest neighbours (Å) after each atom.
Fractional positions:
Pm1 0.1075 0.1075 0.1075  3 Os 2.85
Pm2 0.8925 0.8925 0.8925  3 Os 2.85
Sm1 0.0000 0.0000 0.0000  2 Pm 3.56, 6 Sm 3.60
Os1 0.5000 0.5000 0.5000  6 Pm 2.85

Properties
uncorrected energy	-24.02	eV per cell
energy of formation	0.358	eV per atom
energy above the most stable polymorph in this dataset	1.99	eV/f.u.

=====

Entry from Alexandria via LeMat-Bulk: a relaxed structure of HgAsSe2Br (PBE).

Lattice parameters (Å, degrees): 5.2263 5.2263 5.3015 90.00 90.00 90.00
With the nearest neighbours (Å) after each atom.
Fractional positions:
Hg1 0.0000 0.0000 0.0000  4 As 3.70, 8 Se 3.72
As1 0.5000 0.5000 0.0000  2 Br 2.65
Se1 0.0000 0.5000 0.5000  2 Br 2.61
Se2 0.5000 0.0000 0.5000  2 Br 2.61
Br1 0.5000 0.5000 0.5000  4 Se 2.61, 2 As 2.65

Properties
formation energy (no corrections)	0.958	eV per atom
uncorrected energy	-8.80	eV per cell
energy above the most stable polymorph in this dataset	3.47	eV/f.u.

=====

Entry from Alexandria via LeMat-Bulk: a relaxed structure of Sr2SbRhO6 (PBE).

Lattice parameters (Å, degrees): 5.7125 5.7018 9.8570 90.00 125.24 90.00
With the nearest neighbours (Å) after each atom.
Fractional positions:
Sr1 0.2421 0.0359 0.2491  6 O 2.48-2.74
Sr2 0.2421 0.4641 0.7491  6 O 2.48-2.74
Sr3 0.7579 0.5359 0.2509  6 O 2.48-2.74
Sr4 0.7579 0.9641 0.7509  6 O 2.48-2.74
Sb1 0.5000 0.0000 0.0000  6 O 2.02-2.03
Sb2 0.5000 0.5000 0.5000  6 O 2.02-2.03
Rh1 0.0000 0.0000 0.5000  6 O 2.10
Rh2 0.0000 0.5000 0.0000  6 O 2.10
O1 0.1784 0.2085 0.9609  1 Sb 2.03, 1 Rh 2.10
O2 0.1784 0.2915 0.4609  1 Sb 2.03, 1 Rh 2.10
O3 0.2530 0.7172 0.9604  1 Sb 2.03, 1 Rh 2.10
O4 0.2530 0.7828 0.4604  1 Sb 2.03, 1 Rh 2.10
O5 0.3296 0.0129 0.7545  1 Sb 2.02, 1 Rh 2.10
O6 0.3296 0.4871 0.2545  1 Sb 2.02, 1 Rh 2.10
O7 0.6704 0.5129 0.7455  1 Sb 2.02, 1 Rh 2.10
O8 0.6704 0.9871 0.2455  1 Sb 2.02, 1 Rh 2.10
O9 0.7470 0.2172 0.5396  1 Sb 2.03, 1 Rh 2.10
O10 0.7470 0.2828 0.0396  1 Sb 2.03, 1 Rh 2.10
O11 0.8216 0.7085 0.5391  1 Sb 2.03, 1 Rh 2.10
O12 0.8216 0.7915 0.0391  1 Sb 2.03, 1 Rh 2.10

Properties
formation energy (no corrections)	-1.890	eV per atom
uncorrected energy	-126.97	eV per cell

=====

Entry from Alexandria via LeMat-Bulk: a relaxed structure of Sm4ScIn3 (PBE).

Lattice parameters (Å, degrees): 9.9563 9.9563 9.9563 151.57 151.57 40.64
With the nearest neighbours (Å) after each atom.
Fractional positions:
Sm1 0.1287 0.6287 0.5000  6 In 3.32-3.43, 2 Sc 3.43, 4 Sm 3.46
Sm2 0.3713 0.8713 0.5000  6 In 3.32-3.43, 2 Sc 3.43, 4 Sm 3.46
Sm3 0.6287 0.1287 0.5000  6 In 3.32-3.43, 2 Sc 3.43, 4 Sm 3.46
Sm4 0.8713 0.3713 0.5000  6 In 3.32-3.43, 2 Sc 3.43, 4 Sm 3.46
Sc1 0.0000 0.0000 0.0000  8 Sm 3.43, 4 In 3.46
In1 0.2513 0.2513 0.0000  8 Sm 3.32-3.35, 4 In 3.46
In2 0.5000 0.5000 0.0000  8 Sm 3.43, 4 Sc 3.46
In3 0.7487 0.7487 0.0000  8 Sm 3.32-3.35, 4 In 3.46

Properties
uncorrected energy	-36.18	eV per cell
energy of formation	-0.345	eV per atom

=====

Entry from Alexandria via LeMat-Bulk: a relaxed structure of BaCa2Ni (PBE).

Lattice parameters (Å, degrees): 7.0605 7.0605 7.0605 149.22 128.97 60.79
With the nearest neighbours (Å) after each atom.
Fractional positions:
Ba1 0.0000 0.0000 0.0000  4 Ni 3.57, 4 Ca 3.73, 2 Ba 3.75
Ca1 0.3225 0.8225 0.5000  2 Ni 2.86
Ca2 0.6775 0.1775 0.5000  2 Ni 2.86
Ni1 0.5000 0.5000 0.0000  4 Ca 2.86

Properties
uncorrected energy	-11.47	eV per cell
energy of formation	0.059	eV per atom
energy above the most stable polymorph in this dataset	0.08	eV/f.u.

=====

Entry from Alexandria via LeMat-Bulk: a relaxed structure of Ba2HgC (PBE).

Lattice parameters (Å, degrees): 7.3838 7.3838 9.0616 109.55 109.55 34.37
With the nearest neighbours (Å) after each atom.
Fractional positions:
Ba1 0.1477 0.1477 0.0455  1 C 2.75
Ba2 0.1559 0.1559 0.6069  2 C 2.85
Ba3 0.8441 0.8441 0.3931  2 C 2.85
Ba4 0.8523 0.8523 0.9545  1 C 2.75
Hg1 0.4774 0.4774 0.7384  1 C 2.24
Hg2 0.5226 0.5226 0.2616  1 C 2.24
C1 0.3543 0.3543 0.1963  1 Hg 2.24
C2 0.6457 0.6457 0.8037  1 Hg 2.24

Properties
uncorrected energy	-24.40	eV per cell
energy of formation	0.293	eV per atom
energy above the most stable polymorph in this dataset	1.93	eV/f.u.

=====

Q: uncorrected energy of number 5 (BaCa2Ni)?
A: -11.47 eV per cell

=====

Q: Which of these has the lowest uncorrected energy?
A: Sr2SbRhO6